[1]
Below is an optimized crystal structure of CePmSb2, with properties calculated at the PBE-GGA level.

Properties
**SG**: P4/mmm (123)
**Offset from the most stable computed form**: 0.2499 eV/atom
**Calculated total energy**: -5.60 eV per atom

Cell: 3.907 5.424 5.424 Å, 90.00 90.00 90.00°
Atoms (fractional coordinates):
Ce  0.500  0.000  0.000
Sb  0.000  0.500  0.000
Pm  0.500  0.500  0.500
Sb  0.000  0.000  0.500


[2]
Below is an optimized crystal structure of CdAgCl6, with properties calculated at the PBE-GGA level.

Properties
**SG**: P-1 (2)
**Calculated total energy**: -2.36 eV per atom

Cell: 9.594 10.143 6.694 Å, 67.91 64.09 23.81°
Atoms (fractional coordinates):
Cl  0.064  0.449  0.845
Cl  0.159  0.996  0.220
Ag  0.000  0.000  0.000
Cl  0.569  0.604  0.710
Cd  0.500  0.500  0.500
Cl  0.431  0.396  0.290
Cl  0.936  0.551  0.155
Cl  0.841  0.004  0.780


[3]
Below is an optimized crystal structure of Y3BiH3, with properties calculated at the PBE-GGA level.

Properties
**SG**: R-3 (148)
**Offset from the most stable computed form**: 0.0000 eV/atom
**Calculated total energy**: -5.37 eV per atom

Cell: 6.726 6.726 8.018 Å, 65.20 65.20 60.00°
Atoms (fractional coordinates):
Y  0.431  0.101  0.696
H  0.212  0.870  0.380
Y  0.772  0.431  0.696
H  0.870  0.537  0.380
Y  0.569  0.899  0.304
H  0.537  0.212  0.380
Bi  0.333  0.333  0.000
Bi  0.667  0.667  0.000
Y  0.101  0.772  0.696
Y  0.228  0.569  0.304
H  0.130  0.463  0.620
H  0.463  0.788  0.620
H  0.788  0.130  0.620
Y  0.899  0.228  0.304


[4]
Below is an optimized crystal structure of Fe2IrW, with properties calculated at the PBE-GGA level.

Properties
**SG**: Cmmm (65)
**Calculated total energy**: -9.63 eV per atom
**Formation energy from the elements**: 0.2 eV per formula unit

Cell: 5.968 4.472 2.691 Å, 90.00 63.20 122.12°
Atoms (fractional coordinates):
Ir  0.000  0.500  0.500
W  0.500  0.500  0.000
Fe  0.000  0.000  0.000
Fe  0.500  0.000  0.500


[5]
Below is an optimized crystal structure of Cs3Pr2ZrTe6, with properties calculated at the PBE-GGA level.

Properties
**SG**: C2/m (12)
**Calculated total energy**: -4.53 eV per atom

Cell: 7.883 7.883 9.354 Å, 98.11 98.11 120.01°
Atoms (fractional coordinates):
Te  0.624  0.936  0.808
Te  0.064  0.376  0.192
Cs  0.173  0.827  0.500
Te  0.376  0.064  0.192
Te  0.936  0.624  0.808
Pr  0.334  0.666  0.000
Cs  0.500  0.500  0.500
Zr  0.000  0.000  0.000
Te  0.753  0.753  0.195
Te  0.247  0.247  0.805
Pr  0.666  0.334  0.000
Cs  0.827  0.173  0.500


[6]
Below is an optimized crystal structure of Dy2MgOs, with properties calculated at the PBE-GGA level.

Properties
**SG**: P4/mmm (123)
**Calculated total energy**: -5.57 eV per atom
**Formation energy from the elements**: -0.2 eV per formula unit

Cell: 3.659 4.916 4.916 Å, 90.00 90.00 90.00°
Atoms (fractional coordinates):
Mg  0.500  0.000  0.000
Os  0.500  0.500  0.500
Dy  0.000  0.500  0.000
Dy  0.000  0.000  0.500


[7]
Below is an optimized crystal structure of NdAs2Ru, with properties calculated at the PBE-GGA level.

Properties
**SG**: I-4m2 (119)
**Offset from the most stable computed form**: 0.1706 eV/atom
**Calculated total energy**: -6.51 eV per atom
**Formation energy from the elements**: -2.7 eV per formula unit

Cell: 4.166 4.166 5.853 Å, 110.84 110.84 89.98°
Atoms (fractional coordinates):
Nd  0.222  0.881  0.228
Ru  0.471  0.632  0.728
As  0.855  0.515  0.496
As  0.587  0.248  0.961


[8]
Below is an optimized crystal structure of In2GeBr, with properties calculated at the PBE-GGA level.

Properties
**SG**: I-42d (122)
**Offset from the most stable computed form**: 0.0000 eV/atom
**Calculated total energy**: -2.99 eV per atom

Cell: 6.558 6.558 8.329 Å, 66.82 66.82 90.00°
Atoms (fractional coordinates):
In  0.174  0.625  0.250
Ge  0.250  0.750  0.500
In  0.875  0.826  0.750
Br  0.000  0.000  0.000
In  0.576  0.125  0.250
Br  0.750  0.250  0.500
Ge  0.500  0.500  0.000
In  0.375  0.424  0.750


[9]
Below is an optimized crystal structure of Sc2BiPb, with properties calculated at the PBE-GGA level.

Properties
**SG**: I-42d (122)
**Offset from the most stable computed form**: 0.1619 eV/atom
**Calculated total energy**: -5.35 eV per atom
**Formation energy from the elements**: -1.1 eV per formula unit

Cell: 8.035 8.035 6.596 Å, 52.48 52.48 90.00°
Atoms (fractional coordinates):
Bi  0.750  0.250  0.500
Pb  0.500  0.500  0.000
Sc  0.125  0.625  0.250
Sc  0.625  0.125  0.250
Bi  0.000  0.000  0.000
Sc  0.875  0.875  0.750
Pb  0.250  0.750  0.500
Sc  0.375  0.375  0.750


[10]
Below is an optimized crystal structure of LuCuPt2, with properties calculated at the PBE-GGA level.

Properties
**SG**: Fm-3m (225)
**Calculated total energy**: -5.94 eV per atom
**Formation energy from the elements**: -3.1 eV per formula unit

Cell: 4.576 4.576 4.576 Å, 60.00 60.00 60.00°
Atoms (fractional coordinates):
Cu  0.500  0.500  0.500
Pt  0.750  0.750  0.750
Lu  0.000  0.000  0.000
Pt  0.250  0.250  0.250


[11]
Below is an optimized crystal structure of Cs2HoOsO6, with properties calculated at the PBE-GGA level.

Properties
**SG**: P-3m1 (164)
**Calculated total energy**: -6.49 eV per atom

Cell: 5.730 6.674 6.674 Å, 120.00 90.00 90.00°
Atoms (fractional coordinates):
Ho  0.500  0.000  0.000
Cs  0.849  0.667  0.333
Cs  0.151  0.333  0.667
O  0.205  0.869  0.737
O  0.205  0.869  0.131
O  0.205  0.263  0.131
O  0.795  0.737  0.869
O  0.795  0.131  0.869
O  0.795  0.131  0.263
Os  0.000  0.000  0.000


[12]
Below is an optimized crystal structure of Sm2VCd, with properties calculated at the PBE-GGA level.

Properties
**SG**: R-3m (166)
**Calculated total energy**: -4.30 eV per atom
**Formation energy from the elements**: 2.3 eV per formula unit

Cell: 3.291 3.291 11.452 Å, 81.74 81.74 60.00°
Atoms (fractional coordinates):
Sm  0.084  0.084  0.748
Sm  0.916  0.916  0.252
V  0.000  0.000  0.000
Cd  0.500  0.500  0.500


Question: Which value of calculated total energy does entry 2 give?
Answer: -2.36 eV per atom


Question: Which of these has the lowest calculated total energy?
Answer: Fe2IrW


Please write out number 12 again, unchanged.
Below is an optimized crystal structure of Sm2VCd, with properties calculated at the PBE-GGA level.

Properties
**SG**: R-3m (166)
**Calculated total energy**: -4.30 eV per atom
**Formation energy from the elements**: 2.3 eV per formula unit

Cell: 3.291 3.291 11.452 Å, 81.74 81.74 60.00°
Atoms (fractional coordinates):
Sm  0.084  0.084  0.748
Sm  0.916  0.916  0.252
V  0.000  0.000  0.000
Cd  0.500  0.500  0.500


Question: Which value of calculated total energy does entry 11 give?
Answer: -6.49 eV per atom